AcNpS4: optimized geometry, GGA-PBE.

## Properties
Calculated density = 6.55 g/cm3
Formation energy without anion corrections = -1277.2 meV per atom

```
AcNpS4
1.0
5.8736 0.0000 0.0000
0.0000 6.7941 0.0000
0.0000 0.0000 7.5246
Ac Np S
2 2 8
direct
0.0000 0.0000 0.0000
0.5000 0.5000 0.0000
0.0000 0.0000 0.5000
0.5000 0.5000 0.5000
0.2493 0.2504 0.2727
0.2493 0.2504 0.7273
0.2507 0.7504 0.2727
0.2507 0.7504 0.7273
0.7493 0.2496 0.2727
0.7493 0.2496 0.7273
0.7507 0.7496 0.2727
0.7507 0.7496 0.7273
```